## LiHo2HgAu4 (GGA-PBE)

Data for a relaxed LiHo2HgAu4 crystal.

Structure (CIF):
```
data_LiHo2HgAu4
_chemical_formula_sum 'Li3 Ho6 Hg3 Au12'
_cell_length_a 4.9092
_cell_length_b 4.9092
_cell_length_c 23.7244
_cell_angle_alpha 90.00
_cell_angle_beta 90.00
_cell_angle_gamma 120.00
_space_group_name_H-M_alt 'R -3 m'
_space_group_IT_number 166
_space_group_name_Hall '-R 3 2"'
loop_
_atom_site_label
_atom_site_type_symbol
_atom_site_fract_x
_atom_site_fract_y
_atom_site_fract_z
_atom_site_occupancy
Li1 Li 0.0000 0.0000 0.0000 1
Ho1 Ho 0.0000 0.0000 0.2457 1
Hg1 Hg 0.0000 0.0000 0.5000 1
Au1 Au 0.0000 0.0000 0.1160 1
Au2 Au 0.0000 0.0000 0.3690 1
```

Output
Energy relative to the elements in eV per atom: -0.674
DOS at the Fermi energy in states/eV/cell: 16.0
Total magnetization in μB/cell: 0.0